The following is a GGA-PBE calculation of crystalline ZrScTlIn at its relaxed geometry, from Alexandria.

Unit cell a=4.294 b=4.629 c=4.564 alpha=90.00 beta=90.00 gamma=90.00
Fractional positions:
1 Zr 0.000 0.500 0.500
2 In 0.500 0.500 0.000
3 Sc 0.000 0.000 0.000
4 Tl 0.500 0.000 0.500

For the formation energy, the calculation gives -0.241 eV/atom. The value obtained for the energy above the most stable polymorph in this dataset is 0.00 eV per formula unit.